First-principles (GGA-PBE) data for a relaxed structure of La6TcO12, as listed in the Alexandria database.

Properties
Its total energy is -0.6085 Ry per atom.

The structure in POSCAR format:
```
La6TcO12
1.0
5.162 2.980 3.325
-5.162 2.980 3.325
0.000 -5.960 3.325
La Tc O
6 1 12
direct
0.108 0.643 0.804
0.196 0.892 0.357
0.357 0.196 0.892
0.643 0.804 0.108
0.804 0.108 0.643
0.892 0.357 0.196
0.500 0.500 0.500
0.058 0.323 0.905
0.095 0.942 0.677
0.216 0.531 0.433
0.323 0.905 0.058
0.433 0.216 0.531
0.469 0.567 0.784
0.531 0.433 0.216
0.567 0.784 0.469
0.677 0.095 0.942
0.784 0.469 0.567
0.905 0.058 0.323
0.942 0.677 0.095
```